(1)
First-principles (PBE) data for an optimized crystal structure of Ni7Pd2Rh, as listed in Alexandria.

Crystal system = monoclinic
Calculated total energy = -55.85 eV per cell
ΔE_f = 0.24 eV/atom

a = 2.627 Å, b = 6.380 Å, c = 8.237 Å
α = 105.23°, β = 80.83°, γ = 89.98°
Site moments in Bohr magnetons follow the coordinates.
Element x y z (fractional)
Ni (0.865, 0.591, 0.269)  0.78
Ni (0.135, 0.409, 0.731)  0.78
Ni (0.610, 0.726, 0.781)  0.80
Ni (0.390, 0.274, 0.219)  0.80
Ni (0.386, 0.888, 0.228)  0.76
Ni (0.614, 0.112, 0.772)  0.76
Ni (0.500, 0.500, 0.000)  0.79
Pd (0.233, 0.814, 0.534)  0.26
Pd (0.767, 0.186, 0.466)  0.26
Rh (0.000, 0.000, 0.000)  0.75

=====

(2)
First-principles (PBE) data for an optimized crystal structure of B7C3, as listed in Alexandria.

Crystal system = trigonal
Calculated total energy = -69.07 eV per cell
Relative energy among the computed polymorphs = 242 meV per atom
ΔE_f = 0.53 eV/atom

a = 12.538 Å, b = 12.538 Å, c = 12.538 Å
α = 11.71°, β = 11.71°, γ = 11.71°
Element x y z (fractional)
B (0.788, 0.788, 0.788)
B (0.149, 0.149, 0.149)
B (0.601, 0.601, 0.601)
B (0.962, 0.962, 0.962)
B (0.395, 0.395, 0.395)
B (0.194, 0.194, 0.194)
B (0.556, 0.556, 0.556)
C (0.747, 0.747, 0.747)
C (0.005, 0.005, 0.005)
C (0.351, 0.351, 0.351)

=====

(3)
First-principles (PBE) data for an optimized crystal structure of NaMoSCl2, as listed in Alexandria.

Crystal system = tetragonal
Calculated total energy = -23.43 eV per cell
Energy relative to the elements, uncorrected = -0.691 eV per atom
Relative energy among the computed polymorphs = 0 meV per atom

a = 5.066 Å, b = 5.066 Å, c = 4.610 Å
α = 90.00°, β = 90.00°, γ = 90.00°
Site moments in Bohr magnetons follow the coordinates.
Element x y z (fractional)
Na (0.500, 0.500, 0.500)  0.00
Mo (0.000, 0.000, 0.000)  1.37
S (0.000, 0.000, 0.500)  -0.05
Cl (0.000, 0.500, 0.000)  0.03
Cl (0.500, 0.000, 0.000)  0.03

=====

(4)
First-principles (PBE) data for an optimized crystal structure of CeTcRu2, as listed in Alexandria.

Crystal system = trigonal
Calculated total energy = -34.09 eV per cell
ΔE_f = 0.19 eV/atom

a = 2.808 Å, b = 2.808 Å, c = 9.754 Å
α = 81.73°, β = 81.73°, γ = 60.00°
Element x y z (fractional)
Ru (0.740, 0.740, 0.780)
Ru (0.260, 0.260, 0.220)
Tc (0.000, 0.000, 0.000)
Ce (0.500, 0.500, 0.500)

=====

- What is the calculated total energy in the first record?
  -55.85 eV per cell